Entry 1:
DFT (PBE) results for crystalline Ag2SnBr4 at its relaxed geometry.

abc: 8.5841 8.5841 12.0996
angles: 90.00 90.00 90.00
Fractional positions:
Ag  0.0000  0.2329  0.0000
Ag  0.0000  0.7671  0.5000
Ag  0.2329  0.0000  0.7500
Ag  0.2480  0.2480  0.3750
Ag  0.2480  0.7520  0.1250
Ag  0.7520  0.2480  0.6250
Ag  0.7520  0.7520  0.8750
Ag  0.7671  0.0000  0.2500
Sn  0.2380  0.5000  0.7500
Sn  0.5000  0.2380  0.0000
Sn  0.5000  0.7620  0.5000
Sn  0.7620  0.5000  0.2500
Br  0.0076  0.2482  0.7596
Br  0.0076  0.7518  0.7404
Br  0.2388  0.4881  0.9986
Br  0.2388  0.5119  0.5014
Br  0.2482  0.0076  0.9904
Br  0.2482  0.9924  0.5096
Br  0.4881  0.2388  0.7514
Br  0.4881  0.7612  0.7486
Br  0.5119  0.2388  0.2486
Br  0.5119  0.7612  0.2514
Br  0.7518  0.0076  0.0096
Br  0.7518  0.9924  0.4904
Br  0.7612  0.4881  0.0014
Br  0.7612  0.5119  0.4986
Br  0.9924  0.2482  0.2404
Br  0.9924  0.7518  0.2596

Final energy   -79.89 eV for the cell shown
Total magnetization   0.00 μB per cell
Formation energy from raw total energies   -511 meV/atom
Polymorph energy (0 for the lowest one)   0 meV/atom

Entry 2:
DFT (PBE) results for crystalline Ag2SnBr6 at its relaxed geometry.

abc: 6.6996 6.6996 12.3152
angles: 90.00 90.00 90.00
Fractional positions:
Ag  0.0000  0.0000  0.1650
Ag  0.0000  0.0000  0.8350
Ag  0.5000  0.5000  0.3350
Ag  0.5000  0.5000  0.6650
Sn  0.0000  0.0000  0.5000
Sn  0.5000  0.5000  0.0000
Br  0.1936  0.1936  0.3418
Br  0.1936  0.1936  0.6582
Br  0.2127  0.2127  0.0000
Br  0.2873  0.7127  0.5000
Br  0.3064  0.6936  0.1582
Br  0.3064  0.6936  0.8418
Br  0.6936  0.3064  0.1582
Br  0.6936  0.3064  0.8418
Br  0.7127  0.2873  0.5000
Br  0.7873  0.7873  0.0000
Br  0.8064  0.8064  0.3418
Br  0.8064  0.8064  0.6582

Final energy   -47.84 eV for the cell shown
Total magnetization   0.00 μB per cell
Formation energy from raw total energies   -464 meV/atom
Polymorph energy (0 for the lowest one)   12 meV/atom

Entry 3:
DFT (PBE) results for crystalline Ag3SnBr4 at its relaxed geometry.

abc: 6.6700 6.6700 6.6700
angles: 110.96 110.96 106.54
Fractional positions:
Ag  0.0000  0.0000  0.0000
Ag  0.2500  0.7500  0.5000
Ag  0.7500  0.2500  0.5000
Sn  0.5000  0.5000  0.0000
Br  0.0948  0.6252  0.0000
Br  0.3748  0.3748  0.4696
Br  0.6252  0.0948  0.0000
Br  0.9052  0.9052  0.5304

Final energy   -20.90 eV for the cell shown
Total magnetization   0.82 μB per cell
Formation energy from raw total energies   -206 meV/atom

Entry 4:
DFT (PBE) results for crystalline Ag2Sn2Br at its relaxed geometry.

abc: 8.3292 8.3292 3.5149
angles: 90.00 90.00 90.00
Fractional positions:
Ag  0.1655  0.3345  0.0000
Ag  0.3345  0.8345  0.0000
Ag  0.6655  0.1655  0.0000
Ag  0.8345  0.6655  0.0000
Sn  0.1304  0.6304  0.5000
Sn  0.3696  0.1304  0.5000
Sn  0.6304  0.8696  0.5000
Sn  0.8696  0.3696  0.5000
Br  0.0000  0.0000  0.0000
Br  0.5000  0.5000  0.0000

Final energy   -30.62 eV for the cell shown
Total magnetization   0.00 μB per cell
Formation energy from raw total energies   14 meV/atom
Polymorph energy (0 for the lowest one)   25 meV/atom